# Na3Sr2 PBE relaxed
data_Na3Sr2
_chemical_formula_sum 'Na6 Sr4'
_cell_length_a 7.095
_cell_length_b 7.095
_cell_length_c 11.822
_cell_angle_alpha 72.54
_cell_angle_beta 72.54
_cell_angle_gamma 60.00
_symmetry_space_group_name_H-M 'P 1'
_symmetry_Int_Tables_number 1
_symmetry_space_group_name_Hall 'P 1'
loop_
_atom_site_label
_atom_site_fract_x
_atom_site_fract_y
_atom_site_fract_z
Na1 0.750 0.250 0.750
Na2 0.750 0.250 0.250
Na3 0.750 0.750 0.250
Na4 0.250 0.750 0.250
Na5 0.250 0.250 0.750
Na6 0.250 0.750 0.750
Sr1 0.188 0.188 0.437
Sr2 0.812 0.812 0.563
Sr3 0.312 0.312 0.063
Sr4 0.688 0.688 0.937
# **Space-group type**: R-3m, No. 166
# **Energy of formation from the pure elements**: 102 meV per atom